Na2Sr5Mg (PBE-GGA, relaxed); crystal system = orthorhombic; formation energy = 0.0215 eV per atom
1.0
-4.763 0.632 -3.967
-4.714 -3.713 5.069
-3.527 13.111 6.324
Sr Mg Na
10 2 4
Direct
0.000 0.135 0.272 Sr
0.000 0.635 0.228 Sr
0.500 0.157 0.608 Sr
0.000 0.500 0.500 Sr
0.000 0.000 0.000 Sr
0.500 0.657 0.892 Sr
0.000 0.865 0.728 Sr
0.000 0.365 0.772 Sr
0.500 0.843 0.392 Sr
0.500 0.343 0.108 Sr
0.000 0.000 0.500 Mg
0.000 0.500 0.000 Mg
0.500 0.853 0.133 Na
0.500 0.353 0.367 Na
0.500 0.647 0.633 Na
0.500 0.147 0.867 Na

---

Na2Sr3Mg (PBE-GGA, relaxed); crystal system = tetragonal; formation energy = -0.0034 eV per atom
1.0
-2.571 -2.389 2.515
3.343 -2.541 1.004
2.918 8.037 10.617
Sr Mg Na
3 1 2
Direct
0.000 0.000 0.352 Sr
0.000 0.000 0.000 Sr
0.000 0.000 0.648 Sr
0.500 0.500 0.500 Mg
0.500 0.500 0.823 Na
0.500 0.500 0.177 Na

---

Na2SrMg9 (PBE-GGA, relaxed); crystal system = trigonal; formation energy = 0.0202 eV per atom
1.0
-1.325 -5.495 2.511
4.150 -4.581 -0.218
4.820 -0.265 9.578
Mg Na Sr
9 2 1
Direct
0.416 0.416 0.251 Mg
0.416 0.918 0.251 Mg
0.584 0.584 0.749 Mg
0.082 0.584 0.749 Mg
0.667 0.667 0.000 Mg
0.918 0.416 0.251 Mg
0.584 0.082 0.749 Mg
0.333 0.333 0.000 Mg
0.500 0.500 0.500 Mg
0.144 0.144 0.568 Na
0.856 0.856 0.432 Na
0.000 0.000 0.000 Sr

---

Na5Sr6Mg (PBE-GGA, relaxed); crystal system = monoclinic; formation energy = 0.0146 eV per atom
1.0
-4.761 -0.203 4.127
-4.017 -6.123 -4.935
6.820 -6.710 2.774
Sr Na Mg
6 5 1
Direct
0.160 0.757 0.322 Sr
0.840 0.757 0.678 Sr
0.160 0.243 0.322 Sr
0.840 0.243 0.678 Sr
0.500 0.237 0.000 Sr
0.500 0.763 0.000 Sr
0.667 0.000 0.338 Na
0.000 0.500 0.000 Na
0.333 0.000 0.662 Na
0.668 0.500 0.338 Na
0.332 0.500 0.662 Na
0.000 0.000 0.000 Mg

---

NaSr4Mg (PBE-GGA, relaxed); E above lowest polymorph = 185.7 meV per atom; crystal system = monoclinic; formation energy = 0.1778 eV per atom
1.0
-0.977 -0.667 -5.993
-0.657 -5.576 -2.386
-10.125 -1.582 -1.286
Sr Mg Na
4 1 1
Direct
0.368 0.367 0.897 Sr
0.119 0.120 0.641 Sr
0.881 0.880 0.359 Sr
0.632 0.633 0.103 Sr
0.000 0.000 0.000 Mg
0.500 0.500 0.500 Na

---

Na4Sr5Mg (PBE-GGA, relaxed); crystal system = tetragonal; formation energy = 0.0093 eV per atom
1.0
-0.777 1.130 -4.184
-4.103 -1.560 0.340
-7.143 20.265 6.802
Sr Na Mg
5 4 1
Direct
0.500 0.500 0.500 Sr
0.500 0.500 0.705 Sr
0.500 0.500 0.295 Sr
0.500 0.500 0.912 Sr
0.500 0.500 0.088 Sr
0.000 0.000 0.603 Na
0.000 0.000 0.809 Na
0.000 0.000 0.397 Na
0.000 0.000 0.191 Na
0.000 0.000 0.000 Mg

---

Na2Sr2Mg (PBE-GGA, relaxed); E above lowest polymorph = 228.6 meV per atom; crystal system = tetragonal; formation energy = 0.2079 eV per atom
1.0
9.596 0.000 0.000
0.000 9.596 0.000
0.000 0.000 4.864
Na Mg Sr
4 2 4
Direct
0.856 0.356 0.500 Na
0.644 0.856 0.500 Na
0.144 0.644 0.500 Na
0.356 0.144 0.500 Na
0.500 0.500 0.000 Mg
0.000 0.000 0.000 Mg
0.657 0.157 0.000 Sr
0.843 0.657 0.000 Sr
0.157 0.343 0.000 Sr
0.343 0.843 0.000 Sr

---

Na2Sr2Mg (PBE-GGA, relaxed); E above lowest polymorph = 105.5 meV per atom; crystal system = tetragonal; formation energy = 0.0848 eV per atom
1.0
-1.541 8.308 -0.696
-4.727 -0.287 7.033
4.583 1.112 3.125
Na Sr Mg
4 4 2
Direct
0.631 0.131 0.000 Na
0.131 0.369 0.000 Na
0.869 0.631 0.000 Na
0.369 0.869 0.000 Na
0.818 0.318 0.500 Sr
0.182 0.682 0.500 Sr
0.318 0.182 0.500 Sr
0.682 0.818 0.500 Sr
0.500 0.500 0.000 Mg
0.000 0.000 0.000 Mg

---

NaSr3Mg2 (PBE-GGA, relaxed); crystal system = tetragonal; formation energy = -0.0353 eV per atom
1.0
4.225 0.000 0.000
0.000 4.225 0.000
0.000 0.000 13.311
Na Mg Sr
1 2 3
Direct
0.500 0.500 0.500 Na
0.500 0.500 0.845 Mg
0.500 0.500 0.155 Mg
0.000 0.000 0.691 Sr
0.000 0.000 0.309 Sr
0.000 0.000 0.000 Sr

---

NaSrMg (PBE-GGA, relaxed); E above lowest polymorph = 20.3 meV per atom; crystal system = tetragonal; formation energy = 0.0408 eV per atom
1.0
-2.526 -3.342 -0.280
2.757 -2.269 2.209
-2.938 4.498 4.297
Mg Na Sr
1 1 1
Direct
0.346 0.346 0.693 Mg
0.978 0.978 0.956 Na
0.675 0.675 0.351 Sr

---

NaSrMg6 (PBE-GGA, relaxed); crystal system = orthorhombic; formation energy = 0.0791 eV per atom
1.0
0.963 6.925 -0.874
-6.325 -3.105 0.023
-0.334 0.720 5.336
Na Mg Sr
1 6 1
Direct
0.834 0.166 0.500 Na
0.185 0.313 0.000 Mg
0.823 0.674 0.500 Mg
0.151 0.849 0.000 Mg
0.326 0.177 0.500 Mg
0.687 0.815 0.000 Mg
0.672 0.328 0.000 Mg
0.321 0.679 0.500 Sr

---

NaSrMg (PBE-GGA, relaxed); E above lowest polymorph = 3.9 meV per atom; crystal system = orthorhombic; formation energy = 0.0245 eV per atom
1.0
5.822 0.000 0.000
0.000 5.982 0.000
0.000 0.000 12.399
Mg Na Sr
4 4 4
Direct
0.250 0.500 0.065 Mg
0.250 0.000 0.565 Mg
0.750 0.000 0.435 Mg
0.750 0.500 0.935 Mg
0.750 0.000 0.060 Na
0.250 0.000 0.940 Na
0.250 0.500 0.440 Na
0.750 0.500 0.560 Na
0.750 0.000 0.743 Sr
0.750 0.500 0.243 Sr
0.250 0.000 0.257 Sr
0.250 0.500 0.757 Sr

---

Na2Sr2Mg (PBE-GGA, relaxed); E above lowest polymorph = 107.3 meV per atom; crystal system = tetragonal; formation energy = 0.0866 eV per atom
1.0
4.384 0.000 0.000
0.000 4.384 0.000
2.192 2.192 10.771
Na Mg Sr
2 1 2
Direct
0.250 0.750 0.500 Na
0.750 0.250 0.500 Na
0.000 0.000 0.000 Mg
0.593 0.593 0.814 Sr
0.407 0.407 0.186 Sr

---

NaSr2Mg16 (PBE-GGA, relaxed); crystal system = trigonal; formation energy = -0.0350 eV per atom
1.0
-0.966 7.949 -0.090
-7.917 0.013 -1.207
-2.160 0.813 7.668
Mg Na Sr
16 1 2
Direct
0.346 0.847 0.346 Mg
0.346 0.346 0.847 Mg
0.699 0.000 0.301 Mg
0.003 0.495 0.003 Mg
0.103 0.103 0.103 Mg
0.301 0.699 0.000 Mg
0.495 0.003 0.003 Mg
0.003 0.003 0.495 Mg
0.649 0.649 0.162 Mg
0.847 0.346 0.346 Mg
0.699 0.301 0.000 Mg
0.649 0.162 0.649 Mg
0.301 0.000 0.699 Mg
0.000 0.301 0.699 Mg
0.162 0.649 0.649 Mg
0.000 0.699 0.301 Mg
0.901 0.901 0.901 Na
0.658 0.658 0.658 Sr
0.337 0.337 0.337 Sr

---

NaSrMg3 (PBE-GGA, relaxed); E above lowest polymorph = 0.0 meV per atom; crystal system = cubic; formation energy = 0.3454 eV per atom
1.0
-5.197 1.870 -0.152
-1.825 -4.935 1.684
0.435 1.634 5.260
Mg Na Sr
3 1 1
Direct
0.000 0.000 0.500 Mg
0.500 0.000 0.000 Mg
0.000 0.500 0.000 Mg
0.000 0.000 0.000 Na
0.500 0.500 0.500 Sr

---

NaSrMg (PBE-GGA, relaxed); E above lowest polymorph = 34.7 meV per atom; crystal system = hexagonal; formation energy = 0.0552 eV per atom
1.0
4.013 0.000 0.000
0.000 5.690 0.000
0.000 -2.845 4.928
Sr Mg Na
1 1 1
Direct
0.667 0.333 0.667 Sr
0.167 0.000 0.000 Mg
0.167 0.667 0.333 Na

---

Na4SrMg (PBE-GGA, relaxed); crystal system = cubic; formation energy = 0.0939 eV per atom
1.0
-4.489 -1.573 -4.774
2.014 -3.122 -5.623
-1.673 -6.441 -1.062
Mg Sr Na
1 1 4
Direct
0.000 0.000 0.000 Mg
0.250 0.250 0.250 Sr
0.626 0.123 0.626 Na
0.626 0.626 0.626 Na
0.123 0.626 0.626 Na
0.626 0.626 0.123 Na

---

NaSrMg3 (PBE-GGA, relaxed); E above lowest polymorph = 405.5 meV per atom; crystal system = cubic; formation energy = 0.7508 eV per atom
1.0
-6.236 1.682 0.386
-1.474 -5.943 2.089
0.897 1.926 6.111
Mg Na Sr
3 1 1
Direct
0.500 0.000 0.000 Mg
0.000 0.000 0.500 Mg
0.000 0.500 0.000 Mg
0.500 0.500 0.500 Na
0.000 0.000 0.000 Sr

---

NaSr6Mg5 (PBE-GGA, relaxed); crystal system = orthorhombic; formation energy = -0.0405 eV per atom
1.0
-2.755 -5.338 0.420
6.961 -3.342 3.189
-4.171 -0.575 8.502
Mg Sr Na
5 6 1
Direct
0.665 0.500 0.669 Mg
0.000 0.500 0.000 Mg
0.335 0.500 0.331 Mg
0.667 0.000 0.666 Mg
0.333 0.000 0.334 Mg
0.830 0.745 0.339 Sr
0.830 0.255 0.339 Sr
0.500 0.743 0.000 Sr
0.170 0.255 0.661 Sr
0.170 0.745 0.661 Sr
0.500 0.257 0.000 Sr
0.000 0.000 0.000 Na

---

NaSrMg6 (PBE-GGA, relaxed); crystal system = orthorhombic; formation energy = 0.0801 eV per atom
1.0
-6.341 -2.195 -1.719
5.079 0.317 -4.700
1.434 -5.086 1.207
Mg Na Sr
6 1 1
Direct
0.679 0.321 0.000 Mg
0.338 0.189 0.500 Mg
0.811 0.662 0.500 Mg
0.847 0.153 0.500 Mg
0.681 0.831 0.000 Mg
0.169 0.319 0.000 Mg
0.153 0.847 0.000 Na
0.322 0.678 0.500 Sr